# Pa3Zn2Ni7

An optimized crystal structure of Pa3Zn2Ni7 (PBE, the Alexandria database).

Properties
* theoretical density: 10.8 g cm⁻³
* total energy: -6.225 eV/atom
* total magnetization: 0.00 μB/f.u.
* energy above the lowest structure with this stoichiometry: 5.9 kJ per mole of atoms

Cell lengths 3.8695, 26.3637, 3.7260 Å; angles 90.00, 90.00, 90.00 degrees
Closest atoms and distances in Å follow each position.
Space group Cmmm (No. 65)
Asymmetric unit:
Pa 0.0000 0.0000 0.0000  12 Ni 2.64-2.70
Pa 0.0000 0.3131 0.5000  6 Ni 2.83-3.06, 4 Zn 3.08
Zn 0.0000 0.1297 0.0000  5 Ni 2.41-2.47
Ni 0.0000 0.0709 0.5000  2 Zn 2.42, 2 Pa 2.64, 6 Ni 2.69
Ni 0.0000 0.2211 0.0000  1 Zn 2.41, 2 Ni 2.46
Ni 0.0000 0.4283 0.0000  2 Zn 2.47, 6 Ni 2.65-2.69, 2 Pa 2.70
Ni 0.0000 0.5000 0.5000  8 Ni 2.65-2.69, 4 Pa 2.69